A geometry-optimized TcNiS2O structure. Source: the Alexandria database, functional GGA+U.

Cell: 4.141 5.260 4.141 Å, 90.00 90.00 90.00°
Each line ends with the local moment (μB).
Sites, in units of the cell vectors:
S: 0.500 0.000 0.000  0.28
S: 0.000 0.000 0.500  0.18
O: 0.500 0.500 0.500  0.88
Tc: 0.000 0.500 0.000  3.83
Ni: 0.000 0.000 0.000  0.16

Properties
Its total energy is -3.903 eV/atom. As for the space-group type: P4/mmm, No. 123.

***

A geometry-optimized Ni2SbO structure. Source: the Alexandria database, functional GGA+U.

Cell: 5.426 5.426 5.945 Å, 62.85 62.85 90.00°
Each line ends with the local moment (μB).
Sites, in units of the cell vectors:
Sb: 0.750 0.250 0.500  -0.05
Sb: 0.000 0.000 0.000  -0.05
Ni: 0.227 0.625 0.250  1.09
Ni: 0.375 0.477 0.750  1.13
Ni: 0.523 0.125 0.250  1.07
Ni: 0.875 0.773 0.750  1.05
O: 0.500 0.500 0.000  0.03
O: 0.250 0.750 0.500  0.03

Properties
As for the space-group type: I-42d, No. 122. The value obtained for the energy above the lowest structure with this stoichiometry is 0 meV/atom.

***

A geometry-optimized NiSbO3 structure. Source: the Alexandria database, functional GGA+U.

Cell: 3.928 3.928 3.928 Å, 90.00 90.00 90.00°
Each line ends with the local moment (μB).
Sites, in units of the cell vectors:
O: 0.000 0.000 0.500  0.01
O: 0.000 0.500 0.000  0.04
O: 0.500 0.000 0.000  0.02
Sb: 0.000 0.000 0.000  0.01
Ni: 0.500 0.500 0.500  1.14

Properties
Its total energy is -4.686 eV/atom. As for the space-group type: Pm-3m, No. 221.

***

A geometry-optimized NiSb2O structure. Source: the Alexandria database, functional GGA+U.

Cell: 5.302 5.302 6.837 Å, 67.19 67.19 90.00°
Sites, in units of the cell vectors:
O: 0.500 0.500 0.000
O: 0.250 0.750 0.500
Sb: 0.610 0.125 0.250
Sb: 0.375 0.390 0.750
Sb: 0.875 0.860 0.750
Sb: 0.140 0.625 0.250
Ni: 0.750 0.250 0.500
Ni: 0.000 0.000 0.000

Properties
Its total energy is -3.848 eV/atom. As for the space-group type: I-42d, No. 122.

***

A geometry-optimized Ni3SbO structure. Source: the Alexandria database, functional GGA+U.

Cell: 4.082 4.082 4.082 Å, 90.00 90.00 90.00°
Each line ends with the local moment (μB).
Sites, in units of the cell vectors:
Ni: 0.500 0.000 0.000  0.89
Ni: 0.000 0.000 0.500  1.00
Ni: 0.000 0.500 0.000  0.99
Sb: 0.500 0.500 0.500  0.01
O: 0.000 0.000 0.000  0.00

Properties
As for the space-group type: Pm-3m, No. 221. The value obtained for the energy above the lowest structure with this stoichiometry is 0 meV/atom.

***

A geometry-optimized Ni2SbO structure. Source: the Alexandria database, functional GGA+U.

Cell: 4.132 4.132 4.132 Å, 60.00 60.00 60.00°
Sites, in units of the cell vectors:
Sb: 0.500 0.500 0.500
O: 0.000 0.000 0.000
Ni: 0.250 0.250 0.250
Ni: 0.750 0.750 0.750

Properties
As for the space-group type: Fm-3m, No. 225. The value obtained for the energy above the lowest structure with this stoichiometry is 709 meV/atom.

***

| no. | N(E_F) (states/eV per atom) |
| --- | --- |
| 1 | 0.72 |
| 2 | 0.27 |
| 3 | 1.41 |
| 4 | 0.33 |
| 5 | 0.40 |
| 6 | 0.45 |